Compound: InRu2Br
Source: the Alexandria database
Functional: PBE
Structure: relaxed

```
4
Lattice="3.0525 0.0000 0.0000 0.0000 3.0660 0.0000 -0.0322 0.0000 8.0972" Properties=species:S:1:pos:R:3 pbc="T T T"
In 0.0000 0.0000 0.0000
Ru 0.0023 0.0000 3.3475
Ru 1.5272 1.5330 1.8528
Br 0.0041 1.5330 5.4151
```

## Properties
- E above lowest polymorph (meV per atom) = 0
- VASP energy (eV/atom) = -5.48
- formation energy (no corrections) (kJ/mol of formula units) = 102.0
- space group = Pm (6)

Compound: HOsBrF
Source: the Alexandria database
Functional: PBE
Structure: relaxed

```
4
Lattice="4.1087 0.0000 0.0000 0.0000 3.2051 0.0000 -0.5540 0.0000 4.7784" Properties=species:S:1:pos:R:3 pbc="T T T"
H 0.0000 0.0000 0.0000
Os 3.0848 1.6025 4.2793
Br 2.7487 1.6025 1.8052
F 1.0249 1.6025 3.9936
```

## Properties
- E above lowest polymorph (meV per atom) = 116
- VASP energy (eV/atom) = -4.58
- space group = Pm (6)